No. 1
Below is SmSnTe2 after structural relaxation, with properties calculated at the GGA-PBE level.

Results
The value obtained for the raw total energy is -36.0 eV per cell. The space group is Cmcm.

Lattice parameters (Å, degrees): 12.4420 12.4420 4.9953 90.00 90.00 160.92
With the nearest neighbours (Å) after each atom.
Positions (direct):
1 Sm 0.0539 0.9461 0.7500  7 Te 3.18-3.40
2 Sm 0.9461 0.0539 0.2500  7 Te 3.18-3.40
3 Sn 0.3121 0.6879 0.7500  6 Te 3.16-3.24
4 Sn 0.6879 0.3121 0.2500  6 Te 3.16-3.24
5 Te 0.1834 0.8166 0.7500  5 Sn 3.16-3.24, 1 Sm 3.18
6 Te 0.4438 0.5562 0.7500  1 Sn 3.23, 6 Sm 3.24-3.40
7 Te 0.5562 0.4438 0.2500  1 Sn 3.23, 6 Sm 3.24-3.40
8 Te 0.8166 0.1834 0.2500  5 Sn 3.16-3.24, 1 Sm 3.18

No. 2
Below is CsSn2Se3 after structural relaxation, with properties calculated at the GGA-PBE level.

Results
For the energy above the most stable polymorph in this dataset, the calculation gives 0.056 eV per atom. The space group is Cmcm.

Lattice parameters (Å, degrees): 7.7138 7.7138 7.5306 90.00 90.00 60.78
With the nearest neighbours (Å) after each atom.
Positions (direct):
1 Cs 0.0933 0.9067 0.7500  5 Se 3.65-3.94, 2 Cs 4.04
2 Cs 0.9067 0.0933 0.2500  5 Se 3.65-3.94, 2 Cs 4.04
3 Sn 0.3326 0.3326 0.0000  6 Se 2.85-3.06
4 Sn 0.3326 0.3326 0.5000  6 Se 2.85-3.06
5 Sn 0.6674 0.6674 0.0000  6 Se 2.85-3.06
6 Sn 0.6674 0.6674 0.5000  6 Se 2.85-3.06
7 Se 0.0195 0.4366 0.7500  4 Sn 2.85-3.06
8 Se 0.4366 0.0195 0.2500  4 Sn 2.85-3.06
9 Se 0.4394 0.5606 0.2500  4 Sn 2.95
10 Se 0.5606 0.4394 0.7500  4 Sn 2.95
11 Se 0.5634 0.9805 0.7500  4 Sn 2.85-3.06
12 Se 0.9805 0.5634 0.2500  4 Sn 2.85-3.06